1.
The following is a DFT calculation (PBE) of Mg4TlPb after structural relaxation.

Geometry as POSCAR:
```
Mg4TlPb
1.0
-2.614 -4.661 -2.734
3.197 -4.925 -1.250
-1.005 -5.081 3.034
Mg Tl Pb
4 1 1
Cartesian
0.239 -6.627 -2.110
1.042 -6.837 0.772
-1.861 -6.705 0.031
-0.264 -9.166 -0.594
0.000 0.000 0.000
-0.105 -3.667 -0.238
```

Summary:
Space group ... F-43m, No. 216
Energy of formation from the pure elements ... 27 meV/atom
Energy above the lowest structure with this stoichiometry ... 62 meV per atom
Magnetic moment ... 0.0 μB per formula unit

***

2.
The following is a DFT calculation (PBE) of MgTlPb after structural relaxation.

Geometry as POSCAR:
```
MgTlPb
1.0
-2.044 4.597 -0.250
-3.910 0.855 -3.059
-4.576 0.830 1.934
Pb Mg Tl
1 1 1
Cartesian
0.000 0.000 0.000
-2.632 1.570 -0.344
-5.265 3.141 -0.688
```

Summary:
Space group ... F-43m, No. 216
Energy of formation from the pure elements ... 71 meV/atom
Energy above the lowest structure with this stoichiometry ... 90 meV per atom
Magnetic moment ... 0.0 μB per formula unit